Entry 1:
VASP calculation (PBE-GGA) on a relaxed P3Ir2Au crystal.

Values from the calculation:
Energy, eV per cell: -75.78
Polymorph energy (0 for the lowest one), kJ/mol of formula units: 89.0
Formation energy, meV/atom: -110.3
Magnetic moment, μB per formula unit: 0.00
Crystal system: monoclinic

a b c (Å): 9.620 5.164 3.930
angles (deg): 90.00 102.37 90.00
Space group C2 (No. 5)
Symmetry-distinct sites (fractional):
P 0.000 0.000 0.000 (multiplicity 2)
P 0.162 0.697 0.333 (multiplicity 4)
Ir 0.208 0.290 0.098 (multiplicity 4)
Au 0.000 0.338 0.500 (multiplicity 2)



Entry 2:
VASP calculation (PBE-GGA) on a relaxed PmRh5 crystal.

Values from the calculation:
Energy, eV per cell: -85.34
Formation energy, meV/atom: -193.5
Magnetic moment, μB per formula unit: 0.00
Crystal system: orthorhombic

a b c (Å): 4.008 12.263 3.981
angles (deg): 90.00 90.00 90.00
Space group Cmmm (No. 65)
Symmetry-distinct sites (fractional):
Pm 0.000 0.000 0.000 (multiplicity 2)
Rh 0.000 0.178 0.500 (multiplicity 4)
Rh 0.000 0.324 0.000 (multiplicity 4)
Rh 0.000 0.500 0.500 (multiplicity 2)



Entry 3:
VASP calculation (PBE-GGA) on a relaxed Np3Ag3PdS8 crystal.

Values from the calculation:
Energy, eV per cell: -192.51
Magnetic moment, μB per formula unit: 9.63
Crystal system: monoclinic
Energy relative to the elements, uncorrected, eV per atom: -0.71

a b c (Å): 13.057 7.877 7.674
angles (deg): 90.00 124.17 90.00
Space group C2/m (No. 12)
Symmetry-distinct sites (fractional):
Np 0.000 0.000 0.000 (multiplicity 2)
Np 0.250 0.250 0.500 (multiplicity 4)
Ag 0.000 0.500 0.500 (multiplicity 2)
Ag 0.250 0.250 0.000 (multiplicity 4)
Pd 0.000 0.500 0.000 (multiplicity 2)
S 0.003 0.247 0.245 (multiplicity 8)
S 0.229 0.500 0.237 (multiplicity 4)
S 0.249 0.000 0.257 (multiplicity 4)



Entry 4:
VASP calculation (PBE-GGA) on a relaxed SrBi2PtO8 crystal.

Values from the calculation:
Energy, eV per cell: -67.41
Magnetic moment, μB per formula unit: 0.00
Crystal system: monoclinic
Energy relative to the elements, uncorrected, eV per atom: -1.02

a b c (Å): 4.996 6.944 5.029
angles (deg): 90.00 92.03 90.00
Space group P2/m (No. 10)
Symmetry-distinct sites (fractional):
Sr 0.000 0.000 0.000 (multiplicity 1)
Bi 0.500 0.256 0.500 (multiplicity 2)
Pt 0.000 0.500 0.000 (multiplicity 1)
O 0.151 0.289 0.233 (multiplicity 4)
O 0.322 0.500 0.760 (multiplicity 2)
O 0.374 0.000 0.716 (multiplicity 2)



Entry 5:
VASP calculation (PBE-GGA) on a relaxed ZrGaPO2 crystal.

Values from the calculation:
Energy, eV per cell: -33.66
Polymorph energy (0 for the lowest one), kJ/mol of formula units: 0.0
Magnetic moment, μB per formula unit: 0.01
Crystal system: tetragonal
Energy relative to the elements, uncorrected, eV per atom: -1.35

a b c (Å): 4.032 4.032 5.626
angles (deg): 90.00 90.00 90.00
Space group P4/mmm (No. 123)
Symmetry-distinct sites (fractional):
Zr 0.000 0.000 0.000 (multiplicity 1)
Ga 0.500 0.500 0.500 (multiplicity 1)
P 0.000 0.000 0.500 (multiplicity 1)
O 0.000 0.500 0.000 (multiplicity 2)



Entry 6:
VASP calculation (PBE-GGA) on a relaxed NiHgS3 crystal.

Values from the calculation:
Energy, eV per cell: -16.29
Polymorph energy (0 for the lowest one), kJ/mol of formula units: 0.0
Magnetic moment, μB per formula unit: 0.00
Crystal system: cubic
Energy relative to the elements, uncorrected, eV per atom: 0.43

a b c (Å): 4.503 4.503 4.503
angles (deg): 90.00 90.00 90.00
Space group Pm-3m (No. 221)
Symmetry-distinct sites (fractional):
Ni 0.000 0.000 0.000 (multiplicity 1)
Hg 0.500 0.500 0.500 (multiplicity 1)
S 0.000 0.000 0.500 (multiplicity 3)



Entry 7:
VASP calculation (PBE-GGA) on a relaxed VOs3Se crystal.

Values from the calculation:
Energy, eV per cell: -36.62
Magnetic moment, μB per formula unit: 0.00
Crystal system: cubic
Energy relative to the elements, uncorrected, eV per atom: 1.93

a b c (Å): 4.517 4.517 4.517
angles (deg): 90.00 90.00 90.00
Space group Pm-3m (No. 221)
Symmetry-distinct sites (fractional):
V 0.000 0.000 0.000 (multiplicity 1)
Os 0.000 0.000 0.500 (multiplicity 3)
Se 0.500 0.500 0.500 (multiplicity 1)



Entry 8:
VASP calculation (PBE-GGA) on a relaxed In11Hg17Bi crystal.

Values from the calculation:
Energy, eV per cell: -76.55
Formation energy, meV/atom: 29.6
Magnetic moment, μB per formula unit: 0.00
Crystal system: monoclinic

a b c (Å): 9.619 17.281 10.311
angles (deg): 90.00 109.17 90.00
Space group Cm (No. 8)
Symmetry-distinct sites (fractional):
In 0.000 0.000 0.000 (multiplicity 2)
In 0.179 0.137 0.918 (multiplicity 4)
In 0.274 0.114 0.478 (multiplicity 4)
In 0.351 0.408 0.708 (multiplicity 4)
In 0.396 0.230 0.306 (multiplicity 4)
In 0.494 0.095 0.141 (multiplicity 4)
Hg 0.040 0.375 0.735 (multiplicity 4)
Hg 0.043 0.148 0.182 (multiplicity 4)
Hg 0.069 0.500 0.503 (multiplicity 2)
Hg 0.078 0.209 0.603 (multiplicity 4)
Hg 0.190 0.500 0.975 (multiplicity 2)
Hg 0.202 0.311 0.043 (multiplicity 4)
Hg 0.217 0.339 0.425 (multiplicity 4)
Hg 0.281 0.000 0.247 (multiplicity 2)
Hg 0.308 0.500 0.301 (multiplicity 2)
Hg 0.349 0.000 0.840 (multiplicity 2)
Hg 0.385 0.252 0.853 (multiplicity 4)
Bi 0.070 0.000 0.572 (multiplicity 2)



Entry 9:
VASP calculation (PBE-GGA) on a relaxed RbPmAu2 crystal.

Values from the calculation:
Energy, eV per cell: -14.46
Polymorph energy (0 for the lowest one), kJ/mol of formula units: 0.0
Formation energy, meV/atom: -546.0
Magnetic moment, μB per formula unit: 0.00
Crystal system: tetragonal

a b c (Å): 3.832 3.832 8.353
angles (deg): 90.00 90.00 90.00
Space group P4/mmm (No. 123)
Symmetry-distinct sites (fractional):
Rb 0.000 0.000 0.000 (multiplicity 1)
Pm 0.000 0.000 0.500 (multiplicity 1)
Au 0.500 0.500 0.319 (multiplicity 2)



Entry 10:
VASP calculation (PBE-GGA) on a relaxed MnCdIr2 crystal.

Values from the calculation:
Energy, eV per cell: -27.29
Formation energy, meV/atom: 128.0
Magnetic moment, μB per formula unit: 4.04
Crystal system: monoclinic

a b c (Å): 2.818 4.273 5.406
angles (deg): 90.00 104.93 90.00
Space group P2/m (No. 10)
Symmetry-distinct sites (fractional):
Mn 0.000 0.000 0.000 (multiplicity 1)
Cd 0.000 0.000 0.500 (multiplicity 1)
Ir 0.378 0.500 0.228 (multiplicity 2)



Entry 11:
VASP calculation (PBE-GGA) on a relaxed LiInTeI2 crystal.

Values from the calculation:
Energy, eV per cell: -12.05
Polymorph energy (0 for the lowest one), kJ/mol of formula units: 5.1
Magnetic moment, μB per formula unit: 0.58
Crystal system: tetragonal
Energy relative to the elements, uncorrected, eV per atom: -0.23

a b c (Å): 5.766 5.766 5.297
angles (deg): 90.00 90.00 90.00
Space group P4/mmm (No. 123)
Symmetry-distinct sites (fractional):
Li 0.000 0.000 0.000 (multiplicity 1)
In 0.500 0.500 0.500 (multiplicity 1)
Te 0.000 0.000 0.500 (multiplicity 1)
I 0.000 0.500 0.000 (multiplicity 2)



Entry 12:
VASP calculation (PBE-GGA) on a relaxed FeTe2RuI crystal.

Values from the calculation:
Energy, eV per cell: -19.77
Polymorph energy (0 for the lowest one), kJ/mol of formula units: 113.2
Magnetic moment, μB per formula unit: 0.01
Crystal system: tetragonal
Energy relative to the elements, uncorrected, eV per atom: 1.16

a b c (Å): 4.830 4.830 5.228
angles (deg): 90.00 90.00 90.00
Space group P4/mmm (No. 123)
Symmetry-distinct sites (fractional):
Fe 0.000 0.000 0.000 (multiplicity 1)
Te 0.000 0.500 0.000 (multiplicity 2)
Ru 0.500 0.500 0.500 (multiplicity 1)
I 0.000 0.000 0.500 (multiplicity 1)



Entry 13:
VASP calculation (PBE-GGA) on a relaxed YMo2 crystal.

Values from the calculation:
Energy, eV per cell: -51.97
Formation energy, meV/atom: 714.6
Magnetic moment, μB per formula unit: 0.00
Crystal system: hexagonal

a b c (Å): 4.9330 4.9330 5.4684
angles (deg): 90.00 90.00 120.00
Space group P6_3/mmc (No. 194)
Symmetry-distinct sites (fractional):
Y 0.3333 0.6667 0.2500 (multiplicity 2)
Mo 0.0000 0.0000 0.0000 (multiplicity 2)
Mo 0.3333 0.6667 0.7500 (multiplicity 2)



Entry 14:
VASP calculation (PBE-GGA) on a relaxed RbSeCl2 crystal.

Values from the calculation:
Energy, eV per cell: -27.06
Polymorph energy (0 for the lowest one), kJ/mol of formula units: 232.0
Magnetic moment, μB per formula unit: 3.00
Crystal system: trigonal
Energy relative to the elements, uncorrected, eV per atom: -0.22

a b c (Å): 4.8610 4.8610 27.0345
angles (deg): 90.00 90.00 120.00
Space group R-3m (No. 166, hexagonal axes)
Symmetry-distinct sites (fractional):
Rb 0.0000 0.0000 0.0000 (multiplicity 3)
Se 0.0000 0.0000 0.5000 (multiplicity 3)
Cl 0.0000 0.0000 0.1096 (multiplicity 6)



Entry 15:
VASP calculation (PBE-GGA) on a relaxed NaMgZr3 crystal.

Values from the calculation:
Energy, eV per cell: -21.99
Polymorph energy (0 for the lowest one), kJ/mol of formula units: 54.5
Formation energy, meV/atom: 1313.5
Magnetic moment, μB per formula unit: 0.00
Crystal system: cubic

a b c (Å): 5.057 5.057 5.057
angles (deg): 90.00 90.00 90.00
Space group Pm-3m (No. 221)
Symmetry-distinct sites (fractional):
Na 0.000 0.000 0.000 (multiplicity 1)
Mg 0.500 0.500 0.500 (multiplicity 1)
Zr 0.000 0.000 0.500 (multiplicity 3)



Entry 16:
VASP calculation (PBE-GGA) on a relaxed KLaRe2Pt crystal.

Values from the calculation:
Energy, eV per cell: -30.39
Formation energy, meV/atom: 1315.2
Magnetic moment, μB per formula unit: 0.20
Crystal system: tetragonal

a b c (Å): 4.892 4.892 5.368
angles (deg): 90.00 90.00 90.00
Space group P4/mmm (No. 123)
Symmetry-distinct sites (fractional):
K 0.000 0.000 0.000 (multiplicity 1)
La 0.500 0.500 0.000 (multiplicity 1)
Re 0.000 0.500 0.500 (multiplicity 2)
Pt 0.000 0.000 0.500 (multiplicity 1)



Entry 17:
VASP calculation (PBE-GGA) on a relaxed Y2ZnInH crystal.

Values from the calculation:
Energy, eV per cell: -22.10
Magnetic moment, μB per formula unit: 0.00
Crystal system: tetragonal

a b c (Å): 4.961 4.961 4.028
angles (deg): 90.00 90.00 90.00
Space group P4/mmm (No. 123)
Symmetry-distinct sites (fractional):
Y 0.000 0.500 0.000 (multiplicity 2)
Zn 0.000 0.000 0.500 (multiplicity 1)
In 0.500 0.500 0.500 (multiplicity 1)
H 0.000 0.000 0.000 (multiplicity 1)



Entry 18:
VASP calculation (PBE-GGA) on a relaxed LaCuNi3 crystal.

Values from the calculation:
Energy, eV per cell: -109.73
Polymorph energy (0 for the lowest one), kJ/mol of formula units: 0.0
Formation energy, meV/atom: -213.2
Magnetic moment, μB per formula unit: 0.00
Crystal system: orthorhombic

a b c (Å): 4.813 8.202 8.334
angles (deg): 90.00 90.00 90.00
Space group Imma (No. 74)
Symmetry-distinct sites (fractional):
La 0.000 0.250 0.044 (multiplicity 4)
Cu 0.000 0.000 0.500 (multiplicity 4)
Ni 0.000 0.250 0.682 (multiplicity 4)
Ni 0.250 0.009 0.750 (multiplicity 8)



Entry 19:
VASP calculation (PBE-GGA) on a relaxed Li2NpAgS4 crystal.

Values from the calculation:
Energy, eV per cell: -44.06
Magnetic moment, μB per formula unit: 2.01
Crystal system: monoclinic
Energy relative to the elements, uncorrected, eV per atom: -0.99

a b c (Å): 6.286 3.915 6.531
angles (deg): 90.00 107.72 90.00
Space group P2/m (No. 10)
Symmetry-distinct sites (fractional):
Li 0.000 0.000 0.000 (multiplicity 1)
Li 0.500 0.500 0.000 (multiplicity 1)
Np 0.000 0.500 0.500 (multiplicity 1)
Ag 0.500 0.000 0.500 (multiplicity 1)
S 0.234 0.500 0.242 (multiplicity 2)
S 0.241 0.000 0.747 (multiplicity 2)



Entry 20:
VASP calculation (PBE-GGA) on a relaxed SmBi6Pd12 crystal.

Values from the calculation:
Energy, eV per cell: -283.35
Formation energy, meV/atom: -217.4
Magnetic moment, μB per formula unit: 0.00
Crystal system: trigonal

a b c (Å): 12.2117 12.2117 9.6813
angles (deg): 90.00 90.00 120.00
Space group R-3m (No. 166, hexagonal axes)
Symmetry-distinct sites (fractional):
Sm 0.0000 0.0000 0.0000 (multiplicity 3)
Bi 0.0628 0.5314 0.2691 (multiplicity 18)
Pd 0.0000 0.3805 0.5000 (multiplicity 18)
Pd 0.0781 0.1563 0.2517 (multiplicity 18)



Entry 21:
VASP calculation (PBE-GGA) on a relaxed MnFe2Sb crystal.

Values from the calculation:
Energy, eV per cell: -59.49
Magnetic moment, μB per formula unit: 7.03
Crystal system: orthorhombic
Energy relative to the elements, uncorrected, eV per atom: 0.12

a b c (Å): 3.805 3.819 7.644
angles (deg): 90.00 90.00 90.00
Space group Imm2 (No. 44)
Symmetry-distinct sites (fractional):
Mn 0.000 0.000 0.000 (multiplicity 2)
Fe 0.000 0.000 0.501 (multiplicity 2)
Fe 0.000 0.500 0.250 (multiplicity 2)
Sb 0.000 0.500 0.750 (multiplicity 2)



Entry 22:
VASP calculation (PBE-GGA) on a relaxed Li6InAu3 crystal.

Values from the calculation:
Energy, eV per cell: -57.11
Formation energy, meV/atom: -450.2
Magnetic moment, μB per formula unit: 0.00
Crystal system: monoclinic

a b c (Å): 7.594 4.638 9.995
angles (deg): 90.00 111.13 90.00
Space group P2_1/m (No. 11)
Symmetry-distinct sites (fractional):
Li 0.033 0.250 0.424 (multiplicity 2)
Li 0.143 0.750 0.178 (multiplicity 2)
Li 0.215 0.250 0.009 (multiplicity 2)
Li 0.337 0.250 0.325 (multiplicity 2)
Li 0.338 0.750 0.765 (multiplicity 2)
Li 0.429 0.250 0.609 (multiplicity 2)
In 0.459 0.750 0.086 (multiplicity 2)
Au 0.054 0.750 0.872 (multiplicity 2)
Au 0.140 0.250 0.714 (multiplicity 2)
Au 0.268 0.750 0.475 (multiplicity 2)



Entry 23:
VASP calculation (PBE-GGA) on a relaxed Pr2NdIr crystal.

Values from the calculation:
Energy, eV per cell: -99.60
Polymorph energy (0 for the lowest one), kJ/mol of formula units: 0.0
Formation energy, meV/atom: -428.3
Magnetic moment, μB per formula unit: 0.00
Crystal system: orthorhombic

a b c (Å): 7.419 9.988 6.578
angles (deg): 90.00 90.00 90.00
Space group Pnma (No. 62)
Symmetry-distinct sites (fractional):
Pr 0.175 0.066 0.172 (multiplicity 8)
Nd 0.037 0.250 0.647 (multiplicity 4)
Ir 0.121 0.750 0.941 (multiplicity 4)



Entry 24:
VASP calculation (PBE-GGA) on a relaxed CaSmY crystal.

Values from the calculation:
Energy, eV per cell: -26.05
Polymorph energy (0 for the lowest one), kJ/mol of formula units: 3.9
Formation energy, meV/atom: 52.4
Magnetic moment, μB per formula unit: 0.00
Crystal system: tetragonal

a b c (Å): 3.675 3.675 15.714
angles (deg): 90.00 90.00 90.00
Space group I4mm (No. 107)
Symmetry-distinct sites (fractional):
Ca 0.000 0.000 0.000 (multiplicity 2)
Sm 0.000 0.000 0.676 (multiplicity 2)
Y 0.000 0.000 0.325 (multiplicity 2)